First-principles (PBE with a Hubbard U) data for crystalline ScNbVO6 at its relaxed geometry, as listed in Alexandria.

a b c (Å): 5.1106 5.1106 8.9638
angles (deg): 90.00 90.00 120.00
Space group P-31c (No. 163)
Asymmetric unit:
Sc  0.3333  0.6667  0.2500 (multiplicity 2)
Nb  0.0000  0.0000  0.0000 (multiplicity 2)
V  0.3333  0.6667  0.7500 (multiplicity 2)
O  0.0241  0.3391  0.6286 (multiplicity 12)

Values from the calculation:
* mass density: 4.7 Mg/m³
* N(E_F): 0.337 states/eV per atom
* uncorrected energy: -8.4928 eV per atom